Entry 1:
Entry from Alexandria: crystalline CaScBe2 at its relaxed geometry (GGA-PBE).

For the offset from the most stable computed form, the calculation gives 0.393 eV per atom.

The space group is I-4m2 (No. 119) and the conventional cell measures 4.217, 4.217 and 8.077 Å, with angles of 90.00, 90.00 and 90.00 degrees. The inequivalent atoms are Ca at (0.000, 0.000, 0.000), Sc at (0.000, 0.500, 0.750), Be at (0.000, 0.000, 0.500) and Be at (0.000, 0.500, 0.250).

***

Entry 2:
Entry from Alexandria: crystalline Ca2ScBe at its relaxed geometry (GGA-PBE).

The space group is Cm (No. 8) and the conventional cell measures 12.730, 3.490 and 5.430 Å, with angles of 90.00, 115.24 and 90.00 degrees. The inequivalent atoms are Ca at (0.000, 0.000, 0.000), Ca at (0.200, 0.000, 0.700), Sc at (0.312, 0.500, 0.312) and Be at (0.484, 0.000, 0.483).

***

| no. | calculated volume (Å³ per cell) | VASP energy (eV per atom) |
| --- | --- | --- |
| 1 | 144 | -3.3995 |
| 2 | 218 | -3.2274 |